*A*
A relaxed structure of LaPtI2N. Source: Alexandria, functional PBE.

- calculated volume (A^3/atom) = 27.389

```
LaPtI2N
1.0
6.043 0.000 0.000
0.000 6.043 0.000
0.000 0.000 3.750
La Pt I N
1 1 2 1
Cartesian
0.000 0.000 0.000
3.022 3.022 1.875
0.000 3.022 1.875
3.022 0.000 1.875
3.022 3.022 0.000
```

*B*
A relaxed structure of LaPtI2N. Source: Alexandria, functional PBE.

- calculated volume (A^3/atom) = 33.073

```
LaPtI2N
1.0
6.370 0.000 0.000
0.000 6.370 0.000
0.000 0.000 4.075
La Pt I N
1 1 2 1
Cartesian
0.000 0.000 0.000
3.185 3.185 2.038
0.000 3.185 0.000
3.185 0.000 0.000
0.000 0.000 2.038
```

Which structure loses on stability? *B* does.

*A*
A relaxed structure of RbLaI2N. Source: Alexandria, functional PBE.

- calculated volume (A^3/atom) = 36.753

```
RbLaI2N
1.0
6.376 0.000 0.000
0.000 6.376 0.000
0.000 0.000 4.520
Rb La I N
1 1 2 1
Cartesian
0.000 0.000 0.000
3.188 3.188 2.260
0.000 3.188 0.000
3.188 0.000 0.000
0.000 0.000 2.260
```

*B*
A relaxed structure of RbLaI2N. Source: Alexandria, functional PBE.

- calculated volume (A^3/atom) = 38.396

```
RbLaI2N
1.0
6.672 0.000 0.000
0.000 6.672 0.000
0.000 0.000 4.313
Rb La I N
1 1 2 1
Cartesian
0.000 0.000 0.000
3.336 3.336 2.157
0.000 3.336 2.157
3.336 0.000 2.157
3.336 3.336 0.000
```

Which structure loses on stability? *A* does.

*A*
A relaxed structure of LaRhI2N. Source: Alexandria, functional PBE.

- calculated volume (A^3/atom) = 33.808

```
LaRhI2N
1.0
6.408 0.000 0.000
0.000 6.408 0.000
0.000 0.000 4.117
La Rh I N
1 1 2 1
Cartesian
0.000 0.000 0.000
3.204 3.204 2.059
0.000 3.204 0.000
3.204 0.000 0.000
0.000 0.000 2.059
```

*B*
A relaxed structure of LaRhI2N. Source: Alexandria, functional PBE.

- calculated volume (A^3/atom) = 25.271

```
LaRhI2N
1.0
5.784 0.000 0.000
0.000 5.784 0.000
0.000 0.000 3.777
La Rh I N
1 1 2 1
Cartesian
0.000 0.000 0.000
2.892 2.892 1.889
0.000 2.892 1.889
2.892 0.000 1.889
2.892 2.892 0.000
```

Which structure loses on stability? *A* does.